Record 1
Sb2OsC6O6F12 at its PBEsol-relaxed geometry. Source: Alexandria via LeMat-Bulk, functional SCAN.

abc: 8.1669 8.1669 12.2901
angles: 90.00 90.00 90.00
With the nearest neighbours (Å) after each atom.
Positions (direct):
Sb 0.0000 0.5000 0.2500  6 F 1.90-1.91
Sb 0.0000 0.5000 0.7500  6 F 1.90-1.91
Sb 0.5000 0.0000 0.2500  6 F 1.90-1.91
Sb 0.5000 0.0000 0.7500  6 F 1.90-1.91
Os 0.0000 0.0000 0.0000  6 C 2.00
Os 0.5000 0.5000 0.5000  6 C 2.00
C 0.0000 0.0000 0.1624  1 O 1.14
C 0.0000 0.0000 0.8376  1 O 1.14
C 0.1299 0.2079 0.0000  1 O 1.14
C 0.2079 0.8701 0.0000  1 O 1.14
C 0.2921 0.3701 0.5000  1 O 1.14
C 0.3701 0.7079 0.5000  1 O 1.14
C 0.5000 0.5000 0.3376  1 O 1.14
C 0.5000 0.5000 0.6624  1 O 1.14
C 0.6299 0.2921 0.5000  1 O 1.14
C 0.7079 0.6299 0.5000  1 O 1.14
C 0.7921 0.1299 0.0000  1 O 1.14
C 0.8701 0.7921 0.0000  1 O 1.14
O 0.0000 0.0000 0.2549  1 C 1.14
O 0.0000 0.0000 0.7451  1 C 1.14
O 0.1735 0.2974 0.5000  1 C 1.14
O 0.2026 0.3265 0.0000  1 C 1.14
O 0.2974 0.8265 0.5000  1 C 1.14
O 0.3265 0.7974 0.0000  1 C 1.14
O 0.5000 0.5000 0.2451  1 C 1.14
O 0.5000 0.5000 0.7549  1 C 1.14
O 0.6735 0.2026 0.0000  1 C 1.14
O 0.7026 0.1735 0.5000  1 C 1.14
O 0.7974 0.6735 0.0000  1 C 1.14
O 0.8265 0.7026 0.5000  1 C 1.14
F 0.1090 0.6229 0.1392  1 Sb 1.91
F 0.1090 0.6229 0.8608  1 Sb 1.91
F 0.1229 0.6090 0.3608  1 Sb 1.91
F 0.1229 0.6090 0.6392  1 Sb 1.91
F 0.1646 0.3354 0.2500  1 Sb 1.90
F 0.1646 0.3354 0.7500  1 Sb 1.90
F 0.3354 0.8354 0.2500  1 Sb 1.90
F 0.3354 0.8354 0.7500  1 Sb 1.90
F 0.3771 0.1090 0.1392  1 Sb 1.91
F 0.3771 0.1090 0.8608  1 Sb 1.91
F 0.3910 0.1229 0.3608  1 Sb 1.91
F 0.3910 0.1229 0.6392  1 Sb 1.91
F 0.6090 0.8771 0.3608  1 Sb 1.91
F 0.6090 0.8771 0.6392  1 Sb 1.91
F 0.6229 0.8910 0.1392  1 Sb 1.91
F 0.6229 0.8910 0.8608  1 Sb 1.91
F 0.6646 0.1646 0.2500  1 Sb 1.90
F 0.6646 0.1646 0.7500  1 Sb 1.90
F 0.8354 0.6646 0.2500  1 Sb 1.90
F 0.8354 0.6646 0.7500  1 Sb 1.90
F 0.8771 0.3910 0.3608  1 Sb 1.91
F 0.8771 0.3910 0.6392  1 Sb 1.91
F 0.8910 0.3771 0.1392  1 Sb 1.91
F 0.8910 0.3771 0.8608  1 Sb 1.91

Calculated values
raw total energy: -0.900 Ry/atom

---

Record 2
Ba2NaGe2 at its PBEsol-relaxed geometry. Source: Alexandria via LeMat-Bulk, functional SCAN.

abc: 8.4437 8.4437 4.6706
angles: 90.00 90.00 90.00
With the nearest neighbours (Å) after each atom.
Positions (direct):
Ba 0.1822 0.3178 0.0000  6 Ge 3.42-3.47
Ba 0.3178 0.8178 0.0000  6 Ge 3.42-3.47
Ba 0.6822 0.1822 0.0000  6 Ge 3.42-3.47
Ba 0.8178 0.6822 0.0000  6 Ge 3.42-3.47
Na 0.0000 0.0000 0.5000  4 Ge 3.46, 8 Ba 3.88
Na 0.5000 0.5000 0.5000  4 Ge 3.46, 8 Ba 3.88
Ge 0.1027 0.6027 0.5000  1 Ge 2.45
Ge 0.3973 0.1027 0.5000  1 Ge 2.45
Ge 0.6027 0.8973 0.5000  1 Ge 2.45
Ge 0.8973 0.3973 0.5000  1 Ge 2.45

Calculated values
calculated formation energy: -444 meV/atom

---

Record 3
YBe2Cu at its PBEsol-relaxed geometry. Source: Alexandria via LeMat-Bulk, functional SCAN.

abc: 4.1719 4.3801 6.0244
angles: 90.00 90.00 90.00
With the nearest neighbours (Å) after each atom.
Positions (direct):
Y 0.0000 0.0000 0.0000  8 Be 2.60-2.64
Y 0.5000 0.5000 0.5000  8 Be 2.60-2.64
Be 0.0000 0.5000 0.2322  4 Cu 2.51-2.72, 4 Y 2.60-2.64, 1 Be 2.80
Be 0.0000 0.5000 0.7678  4 Cu 2.51-2.72, 4 Y 2.60-2.64, 1 Be 2.80
Be 0.5000 0.0000 0.2678  4 Cu 2.51-2.72, 4 Y 2.60-2.64, 1 Be 2.80
Be 0.5000 0.0000 0.7322  4 Cu 2.51-2.72, 4 Y 2.60-2.64, 1 Be 2.80
Cu 0.0000 0.0000 0.5000  8 Be 2.51-2.72
Cu 0.5000 0.5000 0.0000  8 Be 2.51-2.72

Calculated values
ΔE to the lowest computed polymorph: 250.7 meV per atom
calculated formation energy: 70 meV/atom

---

Record 4
Li2TaBe at its PBEsol-relaxed geometry. Source: Alexandria via LeMat-Bulk, functional SCAN.

abc: 2.5426 3.6981 6.0320
angles: 90.00 96.01 90.00
With the nearest neighbours (Å) after each atom.
Positions (direct):
Li 0.0000 0.0000 0.0000  4 Li 2.51-2.54, 4 Be 2.59-2.78, 1 Ta 2.74
Li 0.4074 0.5000 0.2428  4 Li 2.51-2.54
Ta 0.9709 0.0000 0.5445  2 Ta 2.54, 4 Be 2.57-2.58, 1 Li 2.74
Be 0.5178 0.5000 0.7548  2 Be 2.54, 4 Ta 2.57-2.58, 4 Li 2.59-2.78

Calculated values
calculated formation energy: 322 meV/atom

---

Record 5
Sc2CoSn at its PBEsol-relaxed geometry. Source: Alexandria via LeMat-Bulk, functional SCAN.

abc: 3.3801 3.3801 26.7914
angles: 90.00 90.00 120.00
With the nearest neighbours (Å) after each atom.
Positions (direct):
Sc 0.0000 0.0000 0.1113  3 Co 2.45
Sc 0.0000 0.0000 0.8887  3 Co 2.45
Sc 0.3333 0.6667 0.5553  3 Co 2.45
Sc 0.3333 0.6667 0.7780  3 Co 2.45
Sc 0.6667 0.3333 0.2220  3 Co 2.45
Sc 0.6667 0.3333 0.4447  3 Co 2.45
Co 0.0000 0.0000 0.5000  6 Sc 2.45
Co 0.3333 0.6667 0.1667  6 Sc 2.45
Co 0.6667 0.3333 0.8333  6 Sc 2.45
Sn 0.0000 0.0000 0.0000  2 Sc 2.98
Sn 0.3333 0.6667 0.6667  2 Sc 2.98
Sn 0.6667 0.3333 0.3333  2 Sc 2.98

Calculated values
calculated formation energy: 69 meV/atom

---

Record 6
Ca3C at its PBEsol-relaxed geometry. Source: Alexandria via LeMat-Bulk, functional SCAN.

abc: 3.6457 3.6457 9.8182
angles: 90.00 90.00 120.00
With the nearest neighbours (Å) after each atom.
Positions (direct):
Ca 0.0000 0.0000 0.0000  12 Ca 3.65-4.05
Ca 0.3333 0.6667 0.3528  3 C 2.55
Ca 0.3333 0.6667 0.6472  3 C 2.55
C 0.0000 0.0000 0.5000  6 Ca 2.55

Calculated values
calculated formation energy: 385 meV/atom

---

Number 1: V 15.18 Å³/atom. Number 2: V 33.30 Å³/atom. Number 3: V 13.76 Å³/atom. Number 4: V 14.10 Å³/atom. Number 5: V 22.09 Å³/atom. Number 6: V 28.25 Å³/atom.